[1]
This record from the Alexandria database describes a relaxed Li4PaGa5 crystal. The functional is PBE-GGA.

Energy of formation from the pure elements (eV/f.u.): -2.635
Fermi-level density of states (states/eV/f.u.): 6.5
Total DFT energy (no corrections) (eV per atom): -3.492

Cell lengths 3.1853, 3.1853, 16.2616 Å; angles 90.00, 90.00, 90.00 degrees
Last column: nearest neighbours and their distance in Å.
Space group P4/mmm (No. 123)
One atom of each set of equivalent atoms:
1 Li 0.0000 0.0000 0.0918  8 Ga 2.70-2.71, 2 Li 2.99-3.01
2 Li 0.0000 0.0000 0.2767  8 Ga 2.70-2.71, 1 Li 3.01
3 Pa 0.0000 0.0000 0.5000  8 Ga 3.11, 4 Pa 3.19
4 Ga 0.5000 0.5000 0.0000  8 Li 2.70, 2 Ga 2.99
5 Ga 0.5000 0.5000 0.1840  8 Li 2.71, 2 Ga 2.99-3.00
6 Ga 0.5000 0.5000 0.3684  4 Li 2.70, 1 Ga 3.00

***

[2]
This record from the Alexandria database describes a relaxed Li2PaGa3 crystal. The functional is PBE-GGA.

Energy of formation from the pure elements (eV/f.u.): -1.633
Fermi-level density of states (states/eV/f.u.): 3.6
Total DFT energy (no corrections) (eV per atom): -4.006

Cell lengths 3.1636, 3.1636, 10.3138 Å; angles 90.00, 90.00, 90.00 degrees
Last column: nearest neighbours and their distance in Å.
Space group P4/mmm (No. 123)
One atom of each set of equivalent atoms:
1 Li 0.0000 0.0000 0.1456  8 Ga 2.69, 1 Li 3.00
2 Pa 0.0000 0.0000 0.5000  8 Ga 3.10, 4 Pa 3.16
3 Ga 0.5000 0.5000 0.0000  8 Li 2.69, 2 Ga 3.00
4 Ga 0.5000 0.5000 0.2912  4 Li 2.69, 1 Ga 3.00

***

[3]
This record from the Alexandria database describes a relaxed LiPaGa3 crystal. The functional is PBE-GGA.

Energy of formation from the pure elements (eV/f.u.): -1.452
Fermi-level density of states (states/eV/f.u.): 4.2
Total DFT energy (no corrections) (eV per atom): -4.389

Cell lengths 3.0111, 28.9836, 4.3311 Å; angles 90.00, 90.00, 90.00 degrees
Last column: nearest neighbours and their distance in Å.
Space group Cmcm (No. 63)
One atom of each set of equivalent atoms:
1 Li 0.0000 0.2209 0.2500  7 Ga 2.76-2.94, 2 Li 3.01
2 Pa 0.0000 0.0788 0.7500  2 Pa 3.01, 10 Ga 3.08-3.34
3 Ga 0.0000 0.3160 0.2500  2 Ga 2.61, 5 Li 2.76-2.85
4 Ga 0.0000 0.3662 0.7500  2 Ga 2.61
5 Ga 0.0000 0.4760 0.7500  2 Ga 2.57

***

[4]
This record from the Alexandria database describes a relaxed LiPa2Ga3 crystal. The functional is PBE-GGA.

Energy of formation from the pure elements (eV/f.u.): -1.401
Energy above the lowest structure with this stoichiometry (eV/atom): 0.0450
Fermi-level density of states (states/eV/f.u.): 8.1
Total DFT energy (no corrections) (eV per atom): -5.231

Cell lengths 6.3492, 9.3552, 15.9811 Å; angles 90.00, 90.00, 90.00 degrees
Last column: nearest neighbours and their distance in Å.
Space group Fmmm (No. 69)
One atom of each set of equivalent atoms:
1 Li 0.0000 0.0000 0.1649  3 Ga 2.58-2.61
2 Pa 0.2243 0.0000 0.5000  1 Pa 2.85, 10 Ga 3.09-3.14, 2 Li 3.16
3 Pa 0.2500 0.2500 0.2500  8 Ga 3.09, 4 Li 3.14, 2 Pa 3.17
4 Ga 0.0000 0.0000 0.3282  1 Li 2.61, 2 Ga 2.82
5 Ga 0.0000 0.2382 0.0840  1 Li 2.58, 2 Ga 2.69-2.82

***

[5]
This record from the Alexandria database describes a relaxed LiPa2Ga6 crystal. The functional is PBE-GGA.

Energy of formation from the pure elements (eV/f.u.): -2.605
Fermi-level density of states (states/eV/f.u.): 9.6
Total DFT energy (no corrections) (eV per atom): -4.630

Cell lengths 7.9350, 7.9350, 3.1870 Å; angles 90.00, 90.00, 120.00 degrees
Last column: nearest neighbours and their distance in Å.
Space group P6/mmm (No. 191)
One atom of each set of equivalent atoms:
1 Li 0.0000 0.0000 0.0000  12 Ga 3.05, 2 Li 3.19
2 Pa 0.3333 0.6667 0.0000  12 Ga 3.11, 2 Pa 3.19
3 Ga 0.0000 0.3274 0.5000  3 Ga 2.60-2.74

***

[6]
This record from the Alexandria database describes a relaxed LiPaGa crystal. The functional is PBE-GGA.

Energy of formation from the pure elements (eV/f.u.): -0.150
Energy above the lowest structure with this stoichiometry (eV/atom): 0.0000
Fermi-level density of states (states/eV/f.u.): 4.8
Total DFT energy (no corrections) (eV per atom): -4.862

Cell lengths 4.7074, 4.7074, 3.0845 Å; angles 90.00, 90.00, 120.00 degrees
Last column: nearest neighbours and their distance in Å.
Space group P-6m2 (No. 187)
One atom of each set of equivalent atoms:
1 Li 0.0000 0.0000 0.0000  3 Ga 2.72
2 Pa 0.6667 0.3333 0.5000  2 Pa 3.08, 6 Li 3.12, 6 Ga 3.12
3 Ga 0.3333 0.6667 0.0000  3 Li 2.72